Entry 1:
Computed, not measured: BeZn2Ru after structural relaxation at the PBE level of DFT.

Lattice parameters (Å, degrees): 4.8555 4.8555 4.8555 138.40 138.40 60.29
Element x y z (fractional)
Ru  0.7500  0.2500  0.5000
Zn  0.0000  0.0000  0.0000
Zn  0.5000  0.5000  0.0000
Be  0.2500  0.7500  0.5000

Results
As for the total energy: -15.9 eV per formula unit. The calculation puts the formation energy at -0.094 eV/atom. As for the space group: I4/mmm, No. 139. The value obtained for the density of states at the Fermi level is 0.380 states/eV per atom. The theoretical density comes out at 8.01 g/cm3.

=====

Entry 2:
Computed, not measured: ZnB3Au after structural relaxation at the PBE level of DFT.

Lattice parameters (Å, degrees): 4.2298 4.2298 4.2298 90.00 90.00 90.00
Element x y z (fractional)
B  0.0000  0.0000  0.5000
B  0.0000  0.5000  0.0000
B  0.5000  0.0000  0.0000
Au  0.0000  0.0000  0.0000
Zn  0.5000  0.5000  0.5000

Results
As for the total energy: -15.7 eV per formula unit. The calculation puts the formation energy at 1.781 eV/atom. The value obtained for the polymorph energy (0 for the lowest one) is 0.000 eV/atom. As for the space group: Pm-3m, No. 221. The value obtained for the density of states at the Fermi level is 0.827 states/eV per atom. The theoretical density comes out at 6.47 g/cm3.

=====

Entry 3:
Computed, not measured: PrThRu2 after structural relaxation at the PBE level of DFT.

Lattice parameters (Å, degrees): 3.5420 3.5420 7.1576 90.00 90.00 90.00
Element x y z (fractional)
Pr  0.5000  0.5000  0.5000
Ru  0.0000  0.0000  0.7751
Ru  0.0000  0.0000  0.2249
Th  0.5000  0.5000  0.0000

Results
As for the total energy: -31.8 eV per formula unit. The calculation puts the formation energy at -0.268 eV/atom. As for the space group: P4/mmm, No. 123. The value obtained for the density of states at the Fermi level is 0.321 states/eV per atom. The theoretical density comes out at 10.63 g/cm3.

=====

Entry 4:
Computed, not measured: BC3 after structural relaxation at the PBE level of DFT.

Lattice parameters (Å, degrees): 2.5083 3.7765 7.8441 90.00 90.00 90.00
Element x y z (fractional)
C  0.5000  0.7589  0.6692
C  0.5000  0.4929  0.1800
C  0.0000  0.9944  0.3356
C  0.0000  0.9944  0.6644
C  0.5000  0.7589  0.3309
C  0.5000  0.4929  0.8200
C  0.0000  0.2629  0.1777
C  0.0000  0.2174  0.5000
C  0.0000  0.2629  0.8223
B  0.5000  0.5102  0.5000
B  0.0000  0.0460  0.0000
B  0.5000  0.7083  0.0000

Results
As for the total energy: -33.2 eV per formula unit. The calculation puts the formation energy at 0.300 eV/atom. The value obtained for the polymorph energy (0 for the lowest one) is 0.059 eV/atom. As for the space group: Pmm2, No. 25. The value obtained for the density of states at the Fermi level is 0.203 states/eV per atom. The theoretical density comes out at 3.14 g/cm3.

=====

Entry 5:
Computed, not measured: AlTlN2O after structural relaxation at the PBE level of DFT.

Lattice parameters (Å, degrees): 3.9868 3.9868 3.7105 90.00 90.00 90.00
Element x y z (fractional)
N  0.0000  0.5000  0.0000
N  0.5000  0.0000  0.0000
Al  0.0000  0.0000  0.0000
Tl  0.5000  0.5000  0.5000
O  0.0000  0.0000  0.5000

Results
As for the total energy: -26.7 eV per formula unit. As for the space group: P4/mmm, No. 123. The value obtained for the density of states at the Fermi level is 0.396 states/eV per atom. The formation energy (no corrections) comes out at 0.2085 eV per atom. The theoretical density comes out at 7.75 g/cm3.

=====

Entry 6:
Computed, not measured: Nd2Fe2C2N after structural relaxation at the PBE level of DFT.

Lattice parameters (Å, degrees): 3.4460 5.4147 5.7680 68.65 72.62 71.45
Element x y z (fractional)
Nd  0.5666  0.1917  0.6752
Nd  0.4334  0.8083  0.3248
C  0.7992  0.6346  0.7669
C  0.2008  0.3654  0.2331
Fe  0.2040  0.6753  0.9166
Fe  0.7960  0.3247  0.0834
N  0.0000  0.0000  0.0000

Results
As for the total energy: -55.8 eV per formula unit. As for the space group: C2/m, No. 12. The value obtained for the density of states at the Fermi level is 0.588 states/eV per atom. The formation energy (no corrections) comes out at -0.3681 eV per atom. The theoretical density comes out at 7.83 g/cm3.

=====

Entry 7:
Computed, not measured: Cu3BiN after structural relaxation at the PBE level of DFT.

Lattice parameters (Å, degrees): 4.1583 4.1583 4.1583 90.00 90.00 90.00
Element x y z (fractional)
N  0.0000  0.0000  0.0000
Cu  0.0000  0.0000  0.5000
Cu  0.0000  0.5000  0.0000
Cu  0.5000  0.0000  0.0000
Bi  0.5000  0.5000  0.5000

Results
As for the total energy: -22.0 eV per formula unit. The value obtained for the polymorph energy (0 for the lowest one) is 0.000 eV/atom. As for the space group: Pm-3m, No. 221. The value obtained for the density of states at the Fermi level is 0.934 states/eV per atom. The formation energy (no corrections) comes out at 0.4960 eV per atom. The theoretical density comes out at 9.55 g/cm3.

=====

Entry 8:
Computed, not measured: Hf3Ga2Cu4 after structural relaxation at the PBE level of DFT.

Lattice parameters (Å, degrees): 4.2089 5.2643 8.0084 114.74 90.00 113.56
Element x y z (fractional)
Cu  0.0819  0.1638  0.4165
Cu  0.2919  0.5839  0.9583
Cu  0.9181  0.8362  0.5835
Cu  0.7081  0.4161  0.0417
Ga  0.3819  0.7638  0.7172
Ga  0.6181  0.2362  0.2828
Hf  0.0000  0.0000  0.0000
Hf  0.6597  0.3194  0.6780
Hf  0.3403  0.6806  0.3220

Results
As for the total energy: -54.9 eV per formula unit. The calculation puts the formation energy at -0.288 eV/atom. As for the space group: C2/m, No. 12. The value obtained for the density of states at the Fermi level is 0.681 states/eV per atom. The theoretical density comes out at 10.66 g/cm3.

=====

Entry 9:
Computed, not measured: ThGaAg2 after structural relaxation at the PBE level of DFT.

Lattice parameters (Å, degrees): 4.4235 9.4455 8.7271 90.00 104.68 90.00
Element x y z (fractional)
Ag  0.6945  0.5965  0.3890
Ag  0.8935  0.2500  0.7869
Ag  0.3055  0.4035  0.6110
Ag  0.6945  0.9035  0.3890
Ag  0.3055  0.0965  0.6110
Ag  0.9467  0.7500  0.8934
Ag  0.0533  0.2500  0.1066
Ag  0.1065  0.7500  0.2131
Ga  0.8582  0.5235  0.7165
Ga  0.8582  0.9765  0.7165
Ga  0.1418  0.0235  0.2835
Ga  0.1418  0.4765  0.2835
Th  0.3026  0.7500  0.6051
Th  0.5000  0.5000  0.0000
Th  0.6974  0.2500  0.3949
Th  0.5000  0.0000  0.0000

Results
As for the total energy: -17.1 eV per formula unit. The calculation puts the formation energy at -0.229 eV/atom. The value obtained for the polymorph energy (0 for the lowest one) is 0.000 eV/atom. As for the space group: Cmcm, No. 63. The value obtained for the density of states at the Fermi level is 0.821 states/eV per atom. The theoretical density comes out at 9.74 g/cm3.

=====

Entry 10:
Computed, not measured: TaBe17V after structural relaxation at the PBE level of DFT.

Lattice parameters (Å, degrees): 5.5107 5.5107 5.5107 82.95 82.95 82.95
Element x y z (fractional)
Be  0.7006  0.2963  0.0029
Be  0.1015  0.1015  0.1015
Be  0.9973  0.9973  0.5014
Be  0.6508  0.6508  0.1644
Be  0.2963  0.7006  0.0029
Be  0.1644  0.6508  0.6508
Be  0.5014  0.9973  0.9973
Be  0.3469  0.8415  0.3469
Be  0.2963  0.0029  0.7006
Be  0.3469  0.3469  0.8415
Be  0.8415  0.3469  0.3469
Be  0.0029  0.7006  0.2963
Be  0.9973  0.5014  0.9973
Be  0.6508  0.1644  0.6508
Be  0.0029  0.2963  0.7006
Be  0.9018  0.9018  0.9018
Be  0.7006  0.0029  0.2963
Ta  0.6606  0.6606  0.6606
V  0.3395  0.3395  0.3395

Results
As for the total energy: -87.4 eV per formula unit. The calculation puts the formation energy at -0.164 eV/atom. As for the space group: R3m, No. 160. The value obtained for the density of states at the Fermi level is 0.262 states/eV per atom. The theoretical density comes out at 3.90 g/cm3.

=====

Entry 11:
Computed, not measured: Dy7In2Hg2 after structural relaxation at the PBE level of DFT.

Lattice parameters (Å, degrees): 6.8644 7.6281 6.8644 90.00 109.11 90.00
Element x y z (fractional)
In  0.8223  0.5000  0.8223
In  0.1777  0.5000  0.1777
Dy  0.4998  0.2568  0.5002
Dy  0.5003  0.7179  0.9998
Dy  0.5002  0.7432  0.4998
Dy  0.9998  0.2821  0.5003
Dy  0.0002  0.7179  0.4997
Dy  0.0000  0.0000  0.0000
Dy  0.4997  0.2821  0.0002
Hg  0.2891  0.0000  0.7109
Hg  0.7109  0.0000  0.2891

Results
As for the total energy: -39.3 eV per formula unit. The calculation puts the formation energy at -0.093 eV/atom. As for the space group: Cmmm, No. 65. The value obtained for the density of states at the Fermi level is 1.157 states/eV per atom. The theoretical density comes out at 8.65 g/cm3.

=====

Entry 12:
Computed, not measured: AlMoOs after structural relaxation at the PBE level of DFT.

Lattice parameters (Å, degrees): 2.8737 5.2370 6.8346 112.53 102.14 90.00
Element x y z (fractional)
Os  0.1530  0.6530  0.3059
Os  0.8470  0.3470  0.6941
Al  0.8316  0.8316  0.6631
Al  0.1684  0.1684  0.3369
Mo  0.5000  0.7520  0.0000
Mo  0.5000  0.2480  0.0000

Results
As for the total energy: -25.9 eV per formula unit. The calculation puts the formation energy at -0.031 eV/atom. The value obtained for the polymorph energy (0 for the lowest one) is 0.276 eV/atom. As for the space group: Immm, No. 71. The value obtained for the density of states at the Fermi level is 0.544 states/eV per atom. The theoretical density comes out at 11.24 g/cm3.

=====

Entry 13:
Computed, not measured: NdGdHo after structural relaxation at the PBE level of DFT.

Lattice parameters (Å, degrees): 3.6145 3.6145 7.9903 103.07 103.07 90.00
Element x y z (fractional)
Ho  0.6668  0.6668  0.3337
Nd  0.0016  0.0016  0.0032
Gd  0.3316  0.3316  0.6631

Results
As for the total energy: -23.4 eV per formula unit. The calculation puts the formation energy at 0.021 eV/atom. As for the space group: I4mm, No. 107. The value obtained for the density of states at the Fermi level is 1.649 states/eV per atom. The theoretical density comes out at 7.83 g/cm3.

=====

Entry 14:
Computed, not measured: ScInCu4 after structural relaxation at the PBE level of DFT.

Lattice parameters (Å, degrees): 5.0173 5.0190 5.0190 59.97 60.01 60.01
Element x y z (fractional)
Cu  0.1246  0.6252  0.6252
Cu  0.6251  0.1246  0.6251
Cu  0.6251  0.6251  0.1246
Cu  0.6252  0.6251  0.6251
Sc  0.0000  0.0000  0.0000
In  0.2500  0.2500  0.2500

Results
As for the total energy: -27.0 eV per formula unit. The calculation puts the formation energy at -0.266 eV/atom. As for the space group: F-43m, No. 216. The value obtained for the density of states at the Fermi level is 0.044 states/eV per atom. The theoretical density comes out at 7.69 g/cm3.

=====

Entry 15:
Computed, not measured: InMoP2 after structural relaxation at the PBE level of DFT.

Lattice parameters (Å, degrees): 4.4463 4.4463 5.3239 84.27 84.27 42.59
Element x y z (fractional)
P  0.9707  0.9707  0.0870
P  0.5293  0.5293  0.4130
In  0.7500  0.7500  0.7500
Mo  0.2500  0.2500  0.2500

Results
As for the total energy: -24.2 eV per formula unit. The calculation puts the formation energy at 0.052 eV/atom. As for the space group: C2/m, No. 12. The value obtained for the density of states at the Fermi level is 0.510 states/eV per atom. The theoretical density comes out at 6.39 g/cm3.

=====

Entry 16:
Computed, not measured: Ca2SnB after structural relaxation at the PBE level of DFT.

Lattice parameters (Å, degrees): 5.1268 5.1268 5.1268 60.00 60.00 60.00
Element x y z (fractional)
Sn  0.5000  0.5000  0.5000
B  0.0000  0.0000  0.0000
Ca  0.7500  0.7500  0.7500
Ca  0.2500  0.2500  0.2500

Results
As for the total energy: -13.8 eV per formula unit. The calculation puts the formation energy at 0.229 eV/atom. The value obtained for the polymorph energy (0 for the lowest one) is 0.000 eV/atom. As for the space group: Fm-3m, No. 225. The value obtained for the density of states at the Fermi level is 0.613 states/eV per atom. The theoretical density comes out at 3.65 g/cm3.

=====

Entry 17:
Computed, not measured: CdSn3Hg3 after structural relaxation at the PBE level of DFT.

Lattice parameters (Å, degrees): 8.0557 8.0557 8.0557 90.00 90.00 90.00
Element x y z (fractional)
Hg  0.0000  0.5000  0.7500
Hg  0.5000  0.2500  0.0000
Hg  0.7500  0.0000  0.5000
Hg  0.5000  0.7500  0.0000
Hg  0.0000  0.5000  0.2500
Hg  0.2500  0.0000  0.5000
Cd  0.5000  0.5000  0.5000
Cd  0.0000  0.0000  0.0000
Sn  0.0000  0.2500  0.5000
Sn  0.5000  0.0000  0.7500
Sn  0.7500  0.5000  0.0000
Sn  0.5000  0.0000  0.2500
Sn  0.0000  0.7500  0.5000
Sn  0.2500  0.5000  0.0000

Results
As for the total energy: -11.3 eV per formula unit. The calculation puts the formation energy at 0.357 eV/atom. As for the space group: Pm-3n, No. 223. The value obtained for the density of states at the Fermi level is 0.627 states/eV per atom. The theoretical density comes out at 6.80 g/cm3.

=====

Entry 18:
Computed, not measured: SrLaPd after structural relaxation at the PBE level of DFT.

Lattice parameters (Å, degrees): 3.7639 3.7639 7.4221 104.69 104.69 90.00
Element x y z (fractional)
La  0.2877  0.2877  0.5753
Sr  0.0320  0.0320  0.0641
Pd  0.6803  0.6803  0.3606

Results
As for the total energy: -13.1 eV per formula unit. The calculation puts the formation energy at -0.439 eV/atom. The value obtained for the polymorph energy (0 for the lowest one) is 0.085 eV/atom. As for the space group: I4mm, No. 107. The value obtained for the density of states at the Fermi level is 0.984 states/eV per atom. The theoretical density comes out at 5.63 g/cm3.

=====

Number 1: total moment 0.01 μB per cell. Number 2: total moment 0.00 μB per cell. Number 3: total moment 0.00 μB per cell. Number 4: total moment 0.00 μB per cell. Number 5: total moment 2.38 μB per cell. Number 6: total moment 0.00 μB per cell. Number 7: total moment 0.00 μB per cell. Number 8: total moment 0.00 μB per cell. Number 9: total moment 0.00 μB per cell. Number 10: total moment 0.00 μB per cell. Number 11: total moment 0.00 μB per cell. Number 12: total moment 0.00 μB per cell. Number 13: total moment 7.35 μB per cell. Number 14: total moment 0.00 μB per cell. Number 15: total moment 0.00 μB per cell. Number 16: total moment 0.00 μB per cell. Number 17: total moment 0.00 μB per cell. Number 18: total moment 0.00 μB per cell.